No. 1
# PmAl4Au2 PBE optimized geometry
# - Density of states at the Fermi level: 4.1 states/eV/f.u.
# - Distance to the lowest polymorph of the same formula: 0.500 eV per formula unit
data_PmAl4Au2
_chemical_formula_sum 'Pm2 Al8 Au4'
_cell_length_a 8.138
_cell_length_b 8.138
_cell_length_c 4.073
_cell_angle_alpha 90.00
_cell_angle_beta 90.00
_cell_angle_gamma 90.00
_space_group_name_H-M_alt 'P 1'
_space_group_IT_number 1
loop_
_space_group_symop_operation_xyz
'x,y,z'
loop_
_atom_site_label
_atom_site_type_symbol
_atom_site_fract_x
_atom_site_fract_y
_atom_site_fract_z
Pm1 Pm 0.000 0.000 0.000
Pm2 Pm 0.500 0.500 0.500
Al1 Al 0.082 0.337 0.500
Al2 Al 0.163 0.582 0.000
Al3 Al 0.337 0.082 0.500
Al4 Al 0.418 0.837 0.000
Al5 Al 0.582 0.163 0.000
Al6 Al 0.663 0.918 0.500
Al7 Al 0.837 0.418 0.000
Al8 Al 0.918 0.663 0.500
Au1 Au 0.211 0.789 0.500
Au2 Au 0.289 0.289 0.000
Au3 Au 0.711 0.711 0.000
Au4 Au 0.789 0.211 0.500

---

No. 2
# K2Rb4InSb2 PBE optimized geometry
# - Density of states at the Fermi level: 6.6 states/eV/f.u.
# - Energy relative to the elements, uncorrected: -19.68 kJ/mol of atoms
data_K2Rb4InSb2
_chemical_formula_sum 'K2 Rb4 In1 Sb2'
_cell_length_a 9.687
_cell_length_b 9.687
_cell_length_c 5.732
_cell_angle_alpha 107.06
_cell_angle_beta 107.06
_cell_angle_gamma 66.66
_space_group_name_H-M_alt 'P 1'
_space_group_IT_number 1
loop_
_space_group_symop_operation_xyz
'x,y,z'
loop_
_atom_site_label
_atom_site_type_symbol
_atom_site_fract_x
_atom_site_fract_y
_atom_site_fract_z
K1 K 0.142 0.142 0.144
K2 K 0.858 0.858 0.856
Rb1 Rb 0.155 0.569 0.361
Rb2 Rb 0.431 0.845 0.639
Rb3 Rb 0.569 0.155 0.361
Rb4 Rb 0.845 0.431 0.639
In1 In 0.500 0.500 0.000
Sb1 Sb 0.295 0.295 0.795
Sb2 Sb 0.705 0.705 0.205

---

No. 3
# AcGaAgPd3 PBE optimized geometry
# - E: -28.12 eV/f.u.
# - Density of states at the Fermi level: 4.4 states/eV/f.u.
data_AcGaAgPd3
_chemical_formula_sum 'Ac2 Ga2 Ag2 Pd6'
_cell_length_a 7.089
_cell_length_b 7.089
_cell_length_c 5.972
_cell_angle_alpha 90.00
_cell_angle_beta 90.00
_cell_angle_gamma 119.84
_space_group_name_H-M_alt 'P 1'
_space_group_IT_number 1
loop_
_space_group_symop_operation_xyz
'x,y,z'
loop_
_atom_site_label
_atom_site_type_symbol
_atom_site_fract_x
_atom_site_fract_y
_atom_site_fract_z
Ac1 Ac 0.205 0.795 0.750
Ac2 Ac 0.795 0.205 0.250
Ga1 Ga 0.122 0.878 0.250
Ga2 Ga 0.878 0.122 0.750
Ag1 Ag 0.451 0.549 0.750
Ag2 Ag 0.549 0.451 0.250
Pd1 Pd 0.198 0.198 0.000
Pd2 Pd 0.198 0.198 0.500
Pd3 Pd 0.323 0.677 0.250
Pd4 Pd 0.677 0.323 0.750
Pd5 Pd 0.802 0.802 0.000
Pd6 Pd 0.802 0.802 0.500

---

No. 4
# BiTeH PBE optimized geometry
# - Density of states at the Fermi level: 0.0 states/eV/f.u.
# - Distance to the lowest polymorph of the same formula: 0.570 eV per formula unit
data_BiTeH
_chemical_formula_sum 'Bi2 Te2 H2'
_cell_length_a 4.351
_cell_length_b 4.753
_cell_length_c 10.020
_cell_angle_alpha 101.32
_cell_angle_beta 100.37
_cell_angle_gamma 91.50
_space_group_name_H-M_alt 'P 1'
_space_group_IT_number 1
loop_
_space_group_symop_operation_xyz
'x,y,z'
loop_
_atom_site_label
_atom_site_type_symbol
_atom_site_fract_x
_atom_site_fract_y
_atom_site_fract_z
Bi1 Bi 0.219 0.283 0.435
Bi2 Bi 0.781 0.717 0.565
Te1 Te 0.110 0.526 0.183
Te2 Te 0.890 0.474 0.817
H1 H 0.438 0.383 0.137
H2 H 0.562 0.617 0.863

---

No. 5
# LiLaCd PBE optimized geometry
# - Density of states at the Fermi level: 2.5 states/eV/f.u.
# - Distance to the lowest polymorph of the same formula: 0.565 eV per formula unit
data_LiLaCd
_chemical_formula_sum 'Li1 La1 Cd1'
_cell_length_a 3.503
_cell_length_b 3.503
_cell_length_c 7.643
_cell_angle_alpha 90.00
_cell_angle_beta 90.00
_cell_angle_gamma 120.00
_space_group_name_H-M_alt 'P 1'
_space_group_IT_number 1
loop_
_space_group_symop_operation_xyz
'x,y,z'
loop_
_atom_site_label
_atom_site_type_symbol
_atom_site_fract_x
_atom_site_fract_y
_atom_site_fract_z
Li1 Li 0.000 0.000 0.000
La1 La 0.333 0.667 0.623
Cd1 Cd 0.667 0.333 0.265

---

No. 6
# HoCo6Ge4 PBE optimized geometry
# - E: -69.78 eV/f.u.
# - Density of states at the Fermi level: 8.6 states/eV/f.u.
data_HoCo6Ge4
_chemical_formula_sum 'Ho1 Co6 Ge4'
_cell_length_a 6.784
_cell_length_b 6.784
_cell_length_c 3.692
_cell_angle_alpha 90.00
_cell_angle_beta 90.00
_cell_angle_gamma 120.00
_space_group_name_H-M_alt 'P 1'
_space_group_IT_number 1
loop_
_space_group_symop_operation_xyz
'x,y,z'
loop_
_atom_site_label
_atom_site_type_symbol
_atom_site_fract_x
_atom_site_fract_y
_atom_site_fract_z
Ho1 Ho 0.000 0.000 0.000
Co1 Co 0.206 0.411 0.500
Co2 Co 0.206 0.794 0.500
Co3 Co 0.535 0.070 0.000
Co4 Co 0.535 0.465 0.000
Co5 Co 0.589 0.794 0.500
Co6 Co 0.930 0.465 0.000
Ge1 Ge 0.333 0.667 0.000
Ge2 Ge 0.389 0.195 0.500
Ge3 Ge 0.805 0.195 0.500
Ge4 Ge 0.805 0.611 0.500

---

No. 7
# Li2LaTeS4 PBE optimized geometry
# - Density of states at the Fermi level: 1.4 states/eV/f.u.
# - Energy relative to the elements, uncorrected: -102.93 kJ/mol of atoms
data_Li2LaTeS4
_chemical_formula_sum 'Li4 La2 Te2 S8'
_cell_length_a 7.904
_cell_length_b 7.904
_cell_length_c 8.138
_cell_angle_alpha 120.34
_cell_angle_beta 120.34
_cell_angle_gamma 85.98
_space_group_name_H-M_alt 'P 1'
_space_group_IT_number 1
loop_
_space_group_symop_operation_xyz
'x,y,z'
loop_
_atom_site_label
_atom_site_type_symbol
_atom_site_fract_x
_atom_site_fract_y
_atom_site_fract_z
Li1 Li 0.000 0.000 0.000
Li2 Li 0.000 0.000 0.500
Li3 Li 0.000 0.500 0.000
Li4 Li 0.500 0.000 0.500
La1 La 0.500 0.500 0.000
La2 La 0.500 0.500 0.500
Te1 Te 0.000 0.500 0.500
Te2 Te 0.500 0.000 0.000
S1 S 0.189 0.714 0.449
S2 S 0.253 0.253 0.004
S3 S 0.253 0.253 0.504
S4 S 0.286 0.811 0.051
S5 S 0.714 0.189 0.949
S6 S 0.747 0.747 0.496
S7 S 0.747 0.747 0.996
S8 S 0.811 0.286 0.551

---

No. 8
# PrTl2Bi PBE optimized geometry
# - E: -13.08 eV/f.u.
# - Density of states at the Fermi level: 3.5 states/eV/f.u.
data_PrTl2Bi
_chemical_formula_sum 'Pr1 Tl2 Bi1'
_cell_length_a 12.322
_cell_length_b 12.322
_cell_length_c 12.322
_cell_angle_alpha 16.68
_cell_angle_beta 16.68
_cell_angle_gamma 16.68
_space_group_name_H-M_alt 'P 1'
_space_group_IT_number 1
loop_
_space_group_symop_operation_xyz
'x,y,z'
loop_
_atom_site_label
_atom_site_type_symbol
_atom_site_fract_x
_atom_site_fract_y
_atom_site_fract_z
Pr1 Pr 0.000 0.000 0.000
Tl1 Tl 0.090 0.090 0.090
Tl2 Tl 0.910 0.910 0.910
Bi1 Bi 0.500 0.500 0.500

---

No. 9
# KPdCl PBE optimized geometry
# - Density of states at the Fermi level: 0.0 states/eV/f.u.
# - Distance to the lowest polymorph of the same formula: 0.110 eV per formula unit
# - Energy relative to the elements, uncorrected: -75.39 kJ/mol of atoms
data_KPdCl
_chemical_formula_sum 'K2 Pd2 Cl2'
_cell_length_a 5.485
_cell_length_b 5.867
_cell_length_c 5.534
_cell_angle_alpha 90.00
_cell_angle_beta 111.44
_cell_angle_gamma 90.00
_space_group_name_H-M_alt 'P 1'
_space_group_IT_number 1
loop_
_space_group_symop_operation_xyz
'x,y,z'
loop_
_atom_site_label
_atom_site_type_symbol
_atom_site_fract_x
_atom_site_fract_y
_atom_site_fract_z
K1 K 0.153 0.250 0.339
K2 K 0.847 0.750 0.661
Pd1 Pd 0.500 0.000 0.000
Pd2 Pd 0.500 0.500 0.000
Cl1 Cl 0.299 0.750 0.208
Cl2 Cl 0.701 0.250 0.792

---

No. 10
# AlHg2W PBE optimized geometry
# - E: -15.00 eV/f.u.
# - Density of states at the Fermi level: 1.6 states/eV/f.u.
data_AlHg2W
_chemical_formula_sum 'Al1 Hg2 W1'
_cell_length_a 5.222
_cell_length_b 5.222
_cell_length_c 2.976
_cell_angle_alpha 90.00
_cell_angle_beta 90.00
_cell_angle_gamma 114.11
_space_group_name_H-M_alt 'P 1'
_space_group_IT_number 1
loop_
_space_group_symop_operation_xyz
'x,y,z'
loop_
_atom_site_label
_atom_site_type_symbol
_atom_site_fract_x
_atom_site_fract_y
_atom_site_fract_z
Al1 Al 0.000 0.000 0.000
Hg1 Hg 0.000 0.500 0.500
Hg2 Hg 0.500 0.000 0.500
W1 W 0.500 0.500 0.000

---

No. 11
# CaLaBr2 PBE optimized geometry
# - Density of states at the Fermi level: 3.1 states/eV/f.u.
# - Distance to the lowest polymorph of the same formula: 0.112 eV per formula unit
# - Energy relative to the elements, uncorrected: -122.27 kJ/mol of atoms
data_CaLaBr2
_chemical_formula_sum 'Ca1 La1 Br2'
_cell_length_a 10.511
_cell_length_b 10.511
_cell_length_c 10.511
_cell_angle_alpha 21.45
_cell_angle_beta 21.45
_cell_angle_gamma 21.45
_space_group_name_H-M_alt 'P 1'
_space_group_IT_number 1
loop_
_space_group_symop_operation_xyz
'x,y,z'
loop_
_atom_site_label
_atom_site_type_symbol
_atom_site_fract_x
_atom_site_fract_y
_atom_site_fract_z
Ca1 Ca 0.000 0.000 0.000
La1 La 0.500 0.500 0.500
Br1 Br 0.096 0.096 0.096
Br2 Br 0.904 0.904 0.904

---

No. 12
# La2AsI2 PBE optimized geometry
# - Density of states at the Fermi level: 2.5 states/eV/f.u.
# - Energy relative to the elements, uncorrected: -152.86 kJ/mol of atoms
data_La2AsI2
_chemical_formula_sum 'La2 As1 I2'
_cell_length_a 11.797
_cell_length_b 11.797
_cell_length_c 11.797
_cell_angle_alpha 21.56
_cell_angle_beta 21.56
_cell_angle_gamma 21.56
_space_group_name_H-M_alt 'P 1'
_space_group_IT_number 1
loop_
_space_group_symop_operation_xyz
'x,y,z'
loop_
_atom_site_label
_atom_site_type_symbol
_atom_site_fract_x
_atom_site_fract_y
_atom_site_fract_z
La1 La 0.119 0.119 0.119
La2 La 0.881 0.881 0.881
As1 As 0.500 0.500 0.500
I1 I 0.275 0.275 0.275
I2 I 0.725 0.725 0.725

---

No. 13
# Li2ErMg PBE optimized geometry
# - Density of states at the Fermi level: 2.6 states/eV/f.u.
# - Distance to the lowest polymorph of the same formula: 0.112 eV per formula unit
data_Li2ErMg
_chemical_formula_sum 'Li2 Er1 Mg1'
_cell_length_a 10.507
_cell_length_b 10.507
_cell_length_c 10.507
_cell_angle_alpha 17.91
_cell_angle_beta 17.91
_cell_angle_gamma 17.91
_space_group_name_H-M_alt 'P 1'
_space_group_IT_number 1
loop_
_space_group_symop_operation_xyz
'x,y,z'
loop_
_atom_site_label
_atom_site_type_symbol
_atom_site_fract_x
_atom_site_fract_y
_atom_site_fract_z
Li1 Li 0.245 0.245 0.245
Li2 Li 0.755 0.755 0.755
Er1 Er 0.000 0.000 0.000
Mg1 Mg 0.500 0.500 0.500

---

No. 14
# FeRe2Cl PBE optimized geometry
# - Density of states at the Fermi level: 4.2 states/eV/f.u.
# - Distance to the lowest polymorph of the same formula: 2.568 eV per formula unit
# - Energy relative to the elements, uncorrected: 91.24 kJ/mol of atoms
data_FeRe2Cl
_chemical_formula_sum 'Fe1 Re2 Cl1'
_cell_length_a 2.775
_cell_length_b 4.587
_cell_length_c 4.692
_cell_angle_alpha 90.00
_cell_angle_beta 90.00
_cell_angle_gamma 90.00
_space_group_name_H-M_alt 'P 1'
_space_group_IT_number 1
loop_
_space_group_symop_operation_xyz
'x,y,z'
loop_
_atom_site_label
_atom_site_type_symbol
_atom_site_fract_x
_atom_site_fract_y
_atom_site_fract_z
Fe1 Fe 0.000 0.000 0.000
Re1 Re 0.000 0.500 0.500
Re2 Re 0.500 0.500 0.000
Cl1 Cl 0.500 0.000 0.500

---

No. 15
# K3Th2PdS6 PBE optimized geometry
# - Density of states at the Fermi level: 1.6 states/eV/f.u.
# - Energy relative to the elements, uncorrected: -139.57 kJ/mol of atoms
data_K3Th2PdS6
_chemical_formula_sum 'K3 Th2 Pd1 S6'
_cell_length_a 7.214
_cell_length_b 7.214
_cell_length_c 7.685
_cell_angle_alpha 97.86
_cell_angle_beta 97.86
_cell_angle_gamma 121.86
_space_group_name_H-M_alt 'P 1'
_space_group_IT_number 1
loop_
_space_group_symop_operation_xyz
'x,y,z'
loop_
_atom_site_label
_atom_site_type_symbol
_atom_site_fract_x
_atom_site_fract_y
_atom_site_fract_z
K1 K 0.000 0.000 0.000
K2 K 0.345 0.655 0.000
K3 K 0.655 0.345 0.000
Th1 Th 0.167 0.833 0.500
Th2 Th 0.833 0.167 0.500
Pd1 Pd 0.500 0.500 0.500
S1 S 0.071 0.432 0.283
S2 S 0.246 0.246 0.684
S3 S 0.432 0.071 0.283
S4 S 0.568 0.929 0.717
S5 S 0.754 0.754 0.316
S6 S 0.929 0.568 0.717

---

No. 16
# KHg2As PBE optimized geometry
# - E: -6.46 eV/f.u.
# - Density of states at the Fermi level: 1.2 states/eV/f.u.
data_KHg2As
_chemical_formula_sum 'K1 Hg2 As1'
_cell_length_a 5.518
_cell_length_b 5.518
_cell_length_c 6.345
_cell_angle_alpha 93.78
_cell_angle_beta 93.78
_cell_angle_gamma 34.06
_space_group_name_H-M_alt 'P 1'
_space_group_IT_number 1
loop_
_space_group_symop_operation_xyz
'x,y,z'
loop_
_atom_site_label
_atom_site_type_symbol
_atom_site_fract_x
_atom_site_fract_y
_atom_site_fract_z
K1 K 0.000 0.000 0.000
Hg1 Hg 0.253 0.253 0.719
Hg2 Hg 0.747 0.747 0.281
As1 As 0.500 0.500 0.500

---

No. 17
# Y2AlHg PBE optimized geometry
# - Density of states at the Fermi level: 3.3 states/eV/f.u.
# - Distance to the lowest polymorph of the same formula: 0.652 eV per formula unit
data_Y2AlHg
_chemical_formula_sum 'Y2 Al1 Hg1'
_cell_length_a 6.082
_cell_length_b 6.082
_cell_length_c 6.082
_cell_angle_alpha 137.74
_cell_angle_beta 137.74
_cell_angle_gamma 61.30
_space_group_name_H-M_alt 'P 1'
_space_group_IT_number 1
loop_
_space_group_symop_operation_xyz
'x,y,z'
loop_
_atom_site_label
_atom_site_type_symbol
_atom_site_fract_x
_atom_site_fract_y
_atom_site_fract_z
Y1 Y 0.000 0.000 0.000
Y2 Y 0.750 0.250 0.500
Al1 Al 0.250 0.750 0.500
Hg1 Hg 0.500 0.500 0.000

---

No. 18
# Dy2Tm7Mg2 PBE optimized geometry
# - E: -41.70 eV/f.u.
# - Density of states at the Fermi level: 13.3 states/eV/f.u.
data_Dy2Tm7Mg2
_chemical_formula_sum 'Dy2 Tm7 Mg2'
_cell_length_a 8.036
_cell_length_b 8.036
_cell_length_c 5.555
_cell_angle_alpha 105.57
_cell_angle_beta 105.57
_cell_angle_gamma 86.97
_space_group_name_H-M_alt 'P 1'
_space_group_IT_number 1
loop_
_space_group_symop_operation_xyz
'x,y,z'
loop_
_atom_site_label
_atom_site_type_symbol
_atom_site_fract_x
_atom_site_fract_y
_atom_site_fract_z
Dy1 Dy 0.221 0.779 0.000
Dy2 Dy 0.779 0.221 0.000
Tm1 Tm 0.000 0.000 0.500
Tm2 Tm 0.020 0.603 0.317
Tm3 Tm 0.219 0.219 0.165
Tm4 Tm 0.397 0.980 0.683
Tm5 Tm 0.603 0.020 0.317
Tm6 Tm 0.781 0.781 0.835
Tm7 Tm 0.980 0.397 0.683
Mg1 Mg 0.435 0.435 0.714
Mg2 Mg 0.565 0.565 0.286

---

No. 19
# Cu2SiIr PBE optimized geometry
# - Density of states at the Fermi level: 3.5 states/eV/f.u.
# - Energy relative to the elements, uncorrected: 6.54 kJ/mol of atoms
data_Cu2SiIr
_chemical_formula_sum 'Cu2 Si1 Ir1'
_cell_length_a 8.335
_cell_length_b 8.335
_cell_length_c 8.335
_cell_angle_alpha 18.76
_cell_angle_beta 18.76
_cell_angle_gamma 18.76
_space_group_name_H-M_alt 'P 1'
_space_group_IT_number 1
loop_
_space_group_symop_operation_xyz
'x,y,z'
loop_
_atom_site_label
_atom_site_type_symbol
_atom_site_fract_x
_atom_site_fract_y
_atom_site_fract_z
Cu1 Cu 0.245 0.245 0.245
Cu2 Cu 0.755 0.755 0.755
Si1 Si 0.500 0.500 0.500
Ir1 Ir 0.000 0.000 0.000